Arrangement a

{
  "formula": "Mg3Al2Zn4",
  "functional": "PBE",
  "state": "optimized geometry",
  "lattice": [[-0.485, 2.362, -3.919], [-3.549, -2.386, 1.703], [-1.318, 7.437, 4.645]],
  "species": ["Zn", "Mg", "Zn", "Al", "Mg", "Zn", "Al", "Mg", "Zn"],
  "fractional_positions": [[0.957, 0.914, 0.648], [0.362, 0.723, 0.234], [0.320, 0.640, 0.910], [0.717, 0.434, 0.403], [0.000, 0.000, 0.000], [0.043, 0.086, 0.352], [0.283, 0.566, 0.597], [0.638, 0.277, 0.766], [0.680, 0.360, 0.090]],
  "spacegroup": "No. 12"
}


Arrangement b

{
  "formula": "Mg3Al2Zn4",
  "functional": "PBE",
  "state": "optimized geometry",
  "lattice": [[4.481, 0.000, 0.000], [-2.241, 4.912, -0.750], [0.000, -3.006, 7.735]],
  "species": ["Zn", "Al", "Al", "Mg", "Mg", "Mg", "Zn", "Zn", "Zn"],
  "fractional_positions": [[0.070, 0.140, 0.404], [0.615, 0.231, 0.282], [0.385, 0.769, 0.718], [0.337, 0.674, 0.328], [0.000, 0.000, 0.000], [0.663, 0.326, 0.672], [0.930, 0.860, 0.596], [0.291, 0.582, 0.959], [0.709, 0.418, 0.041]],
  "spacegroup": "No. 12"
}


Going by the computed energies, the most stable comes first: arrangement b, arrangement a.